No. 1
# Al2TeIr GGA-PBE relaxed
data_Al2TeIr
_chemical_formula_sum 'Al4 Te2 Ir2'
_symmetry_space_group_name_H-M 'A m m 2'
_symmetry_Int_Tables_number 38
_cell_length_a 4.479
_cell_length_b 4.449
_cell_length_c 8.516
_cell_angle_alpha 90.00
_cell_angle_beta 90.00
_cell_angle_gamma 90.00
loop_
_symmetry_equiv_pos_as_xyz
'x,y,z'
'-x,-y,z'
'-x,y,z'
'x,-y,z'
'x,y+1/2,z+1/2'
'-x,-y+1/2,z+1/2'
'-x,y+1/2,z+1/2'
'x,-y+1/2,z+1/2'
loop_
_atom_site_label
_atom_site_type_symbol
_atom_site_fract_x
_atom_site_fract_y
_atom_site_fract_z
_atom_site_occupancy
Al1 Al 0.000 0.000 0.000 1
Al2 Al 0.500 0.000 0.220 1
Te1 Te 0.000 0.000 0.682 1
Ir1 Ir 0.500 0.000 0.871 1
# * formation energy without anion corrections: -0.8 eV/f.u.
# * density: 7.3 g cm⁻³

---

No. 2
# Y2Ga3Pd5 GGA-PBE relaxed
data_Y2Ga3Pd5
_chemical_formula_sum 'Y8 Ga12 Pd20'
_symmetry_space_group_name_H-M 'I b a m'
_symmetry_Int_Tables_number 72
_symmetry_space_group_name_Hall '-I 2 2c'
_cell_length_a 10.706
_cell_length_b 12.023
_cell_length_c 5.767
_cell_angle_alpha 90.00
_cell_angle_beta 90.00
_cell_angle_gamma 90.00
loop_
_atom_site_label
_atom_site_type_symbol
_atom_site_fract_x
_atom_site_fract_y
_atom_site_fract_z
_atom_site_occupancy
Y1 Y 0.222 0.144 0.000 1
Ga1 Ga 0.000 0.500 0.250 1
Ga2 Ga 0.103 0.145 0.500 1
Pd1 Pd 0.000 0.000 0.250 1
Pd2 Pd 0.000 0.287 0.250 1
Pd3 Pd 0.178 0.414 0.000 1
# * formation energy: -0.79 eV per atom
# * excess energy over the best structure of this formula in the dataset: 0.79 kcal/mol of atoms
# * density: 8.2 g cm⁻³

---

No. 3
# KBa4Sc GGA-PBE relaxed
data_KBa4Sc
_chemical_formula_sum 'K4 Ba16 Sc4'
_symmetry_space_group_name_H-M 'F -4 3 m'
_symmetry_Int_Tables_number 216
_symmetry_space_group_name_Hall 'F -4 2 3'
_cell_length_a 11.132
_cell_length_b 11.132
_cell_length_c 11.132
_cell_angle_alpha 90.00
_cell_angle_beta 90.00
_cell_angle_gamma 90.00
loop_
_atom_site_label
_atom_site_type_symbol
_atom_site_fract_x
_atom_site_fract_y
_atom_site_fract_z
_atom_site_occupancy
K1 K 0.000 0.000 0.000 1
Ba1 Ba 0.123 0.123 0.377 1
Sc1 Sc 0.250 0.250 0.750 1
# * formation energy: 0.50 eV per atom
# * density: 3.0 g cm⁻³

---

Q: Among the records above, which one has the lowest density?
A: KBa4Sc

---

Q: Look up the density of the third one.
A: 3.0 g cm⁻³

---

Q: The highest density belongs to which entry?
A: Y2Ga3Pd5